Record 1
# PBE-GGA YEr2Ni, relaxed
data_YEr2Ni
_cell_length_a 3.6315
_cell_length_b 11.9308
_cell_length_c 9.4373
_cell_angle_alpha 90.00
_cell_angle_beta 90.00
_cell_angle_gamma 90.00
_space_group_name_H-M_alt 'C m c m'
_space_group_IT_number 63
_space_group_name_Hall '-C 2c 2'
loop_
_atom_site_label
_atom_site_fract_x
_atom_site_fract_y
_atom_site_fract_z
_atom_site_occupancy
Y1 0.0000 0.0790 0.2500 1
Er1 0.0000 0.3625 0.0698 1
Ni1 0.0000 0.2358 0.7500 1
# Size of the total moment: 0.04 μB/cell
# E_form: -227 meV per atom

Record 2
# PBE-GGA Y2ErNi9, relaxed
data_Y2ErNi9
_cell_length_a 4.9615
_cell_length_b 4.9615
_cell_length_c 24.3730
_cell_angle_alpha 90.00
_cell_angle_beta 90.00
_cell_angle_gamma 120.00
_space_group_name_H-M_alt 'R -3 m'
_space_group_IT_number 166
_space_group_name_Hall '-R 3 2"'
loop_
_atom_site_label
_atom_site_fract_x
_atom_site_fract_y
_atom_site_fract_z
_atom_site_occupancy
Y1 0.0000 0.0000 0.1386 1
Er1 0.0000 0.0000 0.0000 1
Ni1 0.0000 0.0000 0.3330 1
Ni2 0.0000 0.0000 0.5000 1
Ni3 0.0006 0.5003 0.9186 1
# Size of the total moment: 3.19 μB/cell
# E_form: -403 meV per atom

Record 3
# PBE-GGA Y2Er2Ni15, relaxed
data_Y2Er2Ni15
_cell_length_a 8.5119
_cell_length_b 8.5119
_cell_length_c 12.6074
_cell_angle_alpha 90.00
_cell_angle_beta 90.00
_cell_angle_gamma 120.00
_space_group_name_H-M_alt 'R -3 m'
_space_group_IT_number 166
_space_group_name_Hall '-R 3 2"'
loop_
_atom_site_label
_atom_site_fract_x
_atom_site_fract_y
_atom_site_fract_z
_atom_site_occupancy
Y1 0.0000 0.0000 0.1397 1
Er1 0.0000 0.0000 0.3893 1
Ni1 0.0000 0.3088 0.5000 1
Ni2 0.0000 0.5000 0.0000 1
Ni3 0.0100 0.5050 0.6566 1
# Size of the total moment: 6.63 μB/cell
# E_form: -248 meV per atom

Record 4
# PBE-GGA YEr3Ni, relaxed
data_YEr3Ni
_cell_length_a 5.2637
_cell_length_b 5.2637
_cell_length_c 5.2637
_cell_angle_alpha 90.00
_cell_angle_beta 90.00
_cell_angle_gamma 90.00
_space_group_name_H-M_alt 'P m -3 m'
_space_group_IT_number 221
_space_group_name_Hall '-P 4 2 3'
loop_
_atom_site_label
_atom_site_fract_x
_atom_site_fract_y
_atom_site_fract_z
_atom_site_occupancy
Y1 0.0000 0.0000 0.0000 1
Er1 0.0000 0.5000 0.5000 1
Ni1 0.5000 0.5000 0.5000 1
# Size of the total moment: 0.00 μB/cell
# E_form: -58 meV per atom

Record 5
# PBE-GGA Y2Er3Ni4, relaxed
data_Y2Er3Ni4
_cell_length_a 7.3155
_cell_length_b 7.2287
_cell_length_c 7.4952
_cell_angle_alpha 90.00
_cell_angle_beta 106.98
_cell_angle_gamma 90.00
_space_group_name_H-M_alt 'P 1 21/c 1'
_space_group_IT_number 14
loop_
_space_group_symop_operation_xyz
'x,y,z'
'-x,-y,-z'
'-x,y+1/2,-z+1/2'
'x,-y+1/2,z+1/2'
loop_
_atom_site_label
_atom_site_fract_x
_atom_site_fract_y
_atom_site_fract_z
_atom_site_occupancy
Y1 0.1996 0.1786 0.0941 1
Er1 0.2370 0.6706 0.2508 1
Er2 0.5000 0.0000 0.5000 1
Ni1 0.0892 0.5298 0.8817 1
Ni2 0.5001 0.1191 0.8836 1
# Size of the total moment: 0.00 μB/cell
# E_form: -402 meV per atom

Record 6
# PBE-GGA YEr2Ni9, relaxed
data_YEr2Ni9
_cell_length_a 4.9549
_cell_length_b 4.9549
_cell_length_c 24.2312
_cell_angle_alpha 90.00
_cell_angle_beta 90.00
_cell_angle_gamma 120.00
_space_group_name_H-M_alt 'R -3 m'
_space_group_IT_number 166
_space_group_name_Hall '-R 3 2"'
loop_
_atom_site_label
_atom_site_fract_x
_atom_site_fract_y
_atom_site_fract_z
_atom_site_occupancy
Y1 0.0000 0.0000 0.0000 1
Er1 0.0000 0.0000 0.1393 1
Ni1 0.0000 0.0000 0.3332 1
Ni2 0.0000 0.0000 0.5000 1
Ni3 0.0015 0.5007 0.9174 1
# Size of the total moment: 3.07 μB/cell
# E_form: -426 meV per atom

Repeat the second record exactly.
# PBE-GGA Y2ErNi9, relaxed
data_Y2ErNi9
_cell_length_a 4.9615
_cell_length_b 4.9615
_cell_length_c 24.3730
_cell_angle_alpha 90.00
_cell_angle_beta 90.00
_cell_angle_gamma 120.00
_space_group_name_H-M_alt 'R -3 m'
_space_group_IT_number 166
_space_group_name_Hall '-R 3 2"'
loop_
_atom_site_label
_atom_site_fract_x
_atom_site_fract_y
_atom_site_fract_z
_atom_site_occupancy
Y1 0.0000 0.0000 0.1386 1
Er1 0.0000 0.0000 0.0000 1
Ni1 0.0000 0.0000 0.3330 1
Ni2 0.0000 0.0000 0.5000 1
Ni3 0.0006 0.5003 0.9186 1
# Size of the total moment: 3.19 μB/cell
# E_form: -403 meV per atom